Record 1
A plane-wave DFT calculation with PBE was carried out for crystalline Zr4In3Mo at its relaxed geometry.

Structure (CIF):
```
data_Zr4In3Mo
_cell_length_a 3.3724
_cell_length_b 3.3724
_cell_length_c 15.2155
_cell_angle_alpha 90.00
_cell_angle_beta 90.00
_cell_angle_gamma 90.00
_symmetry_space_group_name_H-M 'P 1'
_symmetry_Int_Tables_number 1
_symmetry_space_group_name_Hall 'P 1'
loop_
_atom_site_label
_atom_site_fract_x
_atom_site_fract_y
_atom_site_fract_z
Zr1 0.0000 0.0000 0.1019
Mo1 0.5000 0.5000 0.0000
In1 0.5000 0.5000 0.7649
Zr2 0.0000 0.0000 0.6341
Zr3 0.0000 0.0000 0.3659
Zr4 0.0000 0.0000 0.8981
In2 0.5000 0.5000 0.5000
In3 0.5000 0.5000 0.2351
```

Summary:
ΔE_f   -0.239 eV per atom
SG   No. 123
Crystal system   tetragonal
Density   7.728 g/cm3
Total magnetization   0.000 μB/cell
Calculated total energy   -55.2 eV/f.u.

---

Record 2
A plane-wave DFT calculation with PBE was carried out for crystalline ZrInMo3 at its relaxed geometry.

Structure (CIF):
```
data_ZrInMo3
_cell_length_a 4.8334
_cell_length_b 4.8334
_cell_length_c 4.8334
_cell_angle_alpha 90.00
_cell_angle_beta 90.00
_cell_angle_gamma 90.00
_symmetry_space_group_name_H-M 'P 1'
_symmetry_Int_Tables_number 1
_symmetry_space_group_name_Hall 'P 1'
loop_
_atom_site_label
_atom_site_fract_x
_atom_site_fract_y
_atom_site_fract_z
In1 0.5000 0.5000 0.5000
Mo1 0.0000 0.5000 0.0000
Zr1 0.0000 0.0000 0.0000
Mo2 0.5000 0.0000 0.0000
Mo3 0.0000 0.0000 0.5000
```

Summary:
ΔE_f   1.831 eV per atom
SG   No. 221
Crystal system   cubic
Density   7.263 g/cm3
Total magnetization   0.000 μB/cell
Polymorph energy (0 for the lowest one)   0 meV/atom
Calculated total energy   -34.6 eV/f.u.

---

Record 3
A plane-wave DFT calculation with PBE was carried out for crystalline Zr2InMo2 at its relaxed geometry.

Structure (CIF):
```
data_Zr2InMo2
_cell_length_a 7.6612
_cell_length_b 7.6612
_cell_length_c 3.4977
_cell_angle_alpha 90.00
_cell_angle_beta 90.00
_cell_angle_gamma 90.00
_symmetry_space_group_name_H-M 'P 1'
_symmetry_Int_Tables_number 1
_symmetry_space_group_name_Hall 'P 1'
loop_
_atom_site_label
_atom_site_fract_x
_atom_site_fract_y
_atom_site_fract_z
Zr1 0.8096 0.3096 0.5000
Zr2 0.6904 0.8096 0.5000
Zr3 0.1904 0.6904 0.5000
Mo1 0.1057 0.3943 0.0000
In1 0.0000 0.0000 0.0000
Mo2 0.3943 0.8943 0.0000
Mo3 0.6057 0.1057 0.0000
In2 0.5000 0.5000 0.0000
Zr4 0.3096 0.1904 0.5000
Mo4 0.8943 0.6057 0.0000
```

Summary:
ΔE_f   0.077 eV per atom
SG   No. 127
Crystal system   tetragonal
Density   7.913 g/cm3
Total magnetization   0.000 μB/cell
Calculated total energy   -41.1 eV/f.u.

---

Record 4
A plane-wave DFT calculation with PBE was carried out for crystalline Zr6InMo at its relaxed geometry.

Structure (CIF):
```
data_Zr6InMo
_cell_length_a 8.1513
_cell_length_b 7.7011
_cell_length_c 5.6053
_cell_angle_alpha 46.70
_cell_angle_beta 43.40
_cell_angle_gamma 58.13
_symmetry_space_group_name_H-M 'P 1'
_symmetry_Int_Tables_number 1
_symmetry_space_group_name_Hall 'P 1'
loop_
_atom_site_label
_atom_site_fract_x
_atom_site_fract_y
_atom_site_fract_z
Zr1 0.7573 0.9875 0.7109
Zr2 0.5440 0.2429 0.2003
Zr3 0.0123 0.4568 0.7738
Zr4 0.2427 0.0125 0.2891
Zr5 0.4560 0.7571 0.7997
Mo1 0.0000 0.0000 0.0000
Zr6 0.9877 0.5432 0.2262
In1 0.5000 0.5000 0.5000
```

Summary:
ΔE_f   -0.055 eV per atom
SG   No. 148
Crystal system   trigonal
Density   7.168 g/cm3
Total magnetization   0.000 μB/cell
Calculated total energy   -65.3 eV/f.u.

---

Record 5
A plane-wave DFT calculation with PBE was carried out for crystalline ZrInMo3 at its relaxed geometry.

Structure (CIF):
```
data_ZrInMo3
_cell_length_a 4.8677
_cell_length_b 4.8677
_cell_length_c 4.8677
_cell_angle_alpha 90.00
_cell_angle_beta 90.00
_cell_angle_gamma 90.00
_symmetry_space_group_name_H-M 'P 1'
_symmetry_Int_Tables_number 1
_symmetry_space_group_name_Hall 'P 1'
loop_
_atom_site_label
_atom_site_fract_x
_atom_site_fract_y
_atom_site_fract_z
Mo1 0.0000 0.0000 0.5000
In1 0.0000 0.0000 0.0000
Mo2 0.5000 0.0000 0.0000
Zr1 0.5000 0.5000 0.5000
Mo3 0.0000 0.5000 0.0000
```

Summary:
ΔE_f   2.028 eV per atom
SG   No. 221
Crystal system   cubic
Density   7.110 g/cm3
Total magnetization   0.000 μB/cell
Polymorph energy (0 for the lowest one)   197 meV/atom
Calculated total energy   -33.6 eV/f.u.

---

Record 6
A plane-wave DFT calculation with PBE was carried out for crystalline Zr3InMo at its relaxed geometry.

Structure (CIF):
```
data_Zr3InMo
_cell_length_a 5.0532
_cell_length_b 5.0532
_cell_length_c 5.0532
_cell_angle_alpha 90.00
_cell_angle_beta 90.00
_cell_angle_gamma 90.00
_symmetry_space_group_name_H-M 'P 1'
_symmetry_Int_Tables_number 1
_symmetry_space_group_name_Hall 'P 1'
loop_
_atom_site_label
_atom_site_fract_x
_atom_site_fract_y
_atom_site_fract_z
In1 0.5000 0.5000 0.5000
Zr1 0.5000 0.0000 0.0000
Zr2 0.0000 0.0000 0.5000
Zr3 0.0000 0.5000 0.0000
Mo1 0.0000 0.0000 0.0000
```

Summary:
ΔE_f   0.565 eV per atom
SG   No. 221
Crystal system   cubic
Density   6.234 g/cm3
Total magnetization   0.000 μB/cell
Polymorph energy (0 for the lowest one)   0 meV/atom
Calculated total energy   -36.4 eV/f.u.